(1)
12
Lattice="-2.742 5.193 8.189 2.742 -5.193 8.189 2.742 5.193 -8.189" Properties=species:S:1:pos:R:3 comment="PBE Ac6Sm5Y, relaxed" ef_ev_per_atom=0.03 dos_ef_per_ev_fu=16.9 crystal_system=orthorhombic pbc="T T T"
Ac 2.742 2.591 -2.726
Ac 0.000 2.587 0.000
Ac 2.742 2.591 2.726
Ac 0.000 2.602 5.463
Ac 0.000 7.800 0.000
Ac 0.000 2.602 10.914
Sm 0.000 0.000 2.731
Sm 2.742 0.000 5.463
Sm 0.000 0.000 8.189
Sm 0.000 5.193 2.725
Sm 0.000 0.000 13.646
Y 2.742 0.000 0.000

(2)
13
Lattice="6.696 -5.968 0.000 6.696 5.968 0.000 -2.529 0.000 5.769" Properties=species:S:1:pos:R:3 comment="PBE Ac2Sm8Y3, relaxed" ef_ev_per_atom=0.19 dos_ef_per_ev_fu=21.3 relative_energy_mev_per_atom=0 crystal_system=monoclinic pbc="T T T"
Ac 1.795 0.000 2.006
Ac 9.068 0.000 3.763
Sm -0.955 0.000 4.413
Sm 3.652 3.006 1.901
Sm 2.310 0.000 5.484
Sm 7.212 3.006 3.868
Sm 3.652 -3.006 1.901
Sm 8.553 0.000 0.285
Sm 7.212 -3.006 3.868
Sm 11.818 0.000 1.356
Y 6.696 2.999 0.000
Y 5.432 0.000 2.884
Y 6.696 -2.999 0.000

(3)
18
Lattice="7.707 -7.714 0.000 7.707 7.714 0.000 0.000 0.000 5.134" Properties=species:S:1:pos:R:3 comment="PBE AcSm12Y5, relaxed" ef_ev_per_atom=0.02 dos_ef_per_ev_fu=27.2 crystal_system=orthorhombic pbc="T T T"
Ac 0.000 0.000 0.000
Sm 2.600 2.600 0.000
Sm 12.815 -2.600 0.000
Sm 5.153 2.561 2.567
Sm 2.637 0.000 2.567
Sm 5.153 0.000 0.000
Sm 2.600 -2.600 0.000
Sm 5.153 -2.561 2.567
Sm 10.261 2.561 2.567
Sm 12.815 2.600 0.000
Sm 10.262 0.000 0.000
Sm 12.778 0.000 2.567
Sm 10.261 -2.561 2.567
Y 7.707 5.082 2.567
Y 7.707 2.566 0.000
Y 7.707 0.000 2.567
Y 7.707 -2.566 0.000
Y 7.707 -5.082 2.567

(4)
26
Lattice="11.406 0.000 0.000 0.000 23.927 0.000 0.000 0.000 3.760" Properties=species:S:1:pos:R:3 comment="PBE Ac6Sm5Y2, relaxed" ef_ev_per_atom=0.16 dos_ef_per_ev_fu=20.8 crystal_system=orthorhombic pbc="T T T"
Ac 0.244 2.693 0.000
Ac 1.668 9.228 0.000
Ac 1.887 15.151 1.880
Ac 3.816 3.187 1.880
Ac 4.035 21.191 0.000
Ac 5.459 14.656 0.000
Ac 5.947 9.271 0.000
Ac 7.371 2.736 0.000
Ac 7.590 20.740 1.880
Ac 9.519 8.776 1.880
Ac 9.738 14.699 0.000
Ac 11.163 21.234 0.000
Sm 0.000 11.964 1.880
Sm 0.983 5.979 1.880
Sm 1.871 23.829 1.880
Sm 3.832 11.865 1.880
Sm 4.721 17.943 1.880
Sm 5.703 0.000 1.880
Sm 6.686 5.984 1.880
Sm 7.575 12.062 1.880
Sm 9.535 0.098 1.880
Sm 10.424 17.948 1.880
Y 1.870 18.356 0.000
Y 3.833 6.392 0.000
Y 7.574 17.535 0.000
Y 9.536 5.572 0.000